Here is ErLuHg after structural relaxation from Alexandria. Energies are from PBE.

The structure in CIF format:
```
data_ErLuHg
_chemical_formula_sum 'Er1 Lu1 Hg1'
_space_group_name_H-M_alt 'P 1'
_space_group_IT_number 1
_cell_length_a 3.549
_cell_length_b 3.549
_cell_length_c 6.846
_cell_angle_alpha 105.02
_cell_angle_beta 105.02
_cell_angle_gamma 90.00
loop_
_space_group_symop_operation_xyz
'x,y,z'
loop_
_atom_site_label
_atom_site_type_symbol
_atom_site_fract_x
_atom_site_fract_y
_atom_site_fract_z
_atom_site_occupancy
Lu1 Lu 0.013 0.013 0.026 1
Hg1 Hg 0.665 0.665 0.329 1
Er1 Er 0.322 0.322 0.645 1
```

For the density of states at the Fermi level, the calculation gives 0.9258 states/eV per atom. The calculation puts the total magnetization at 1.17 μB/f.u. Its space group is No. 107. The calculation puts the electronic total energy at -0.126 hartree per atom.